Entry 1:
! Y5Tl2Bi2 PBE optimized geometry; values from VASP
! energy	-5.61	eV per atom
! space group	Cmce
&SYSTEM
  ibrav = 0, nat = 18, ntyp = 3
/
ATOMIC_SPECIES
Y 88.91 Y.upf
Tl 204.38 Tl.upf
Bi 208.98 Bi.upf
CELL_PARAMETERS angstrom
8.2371 0.0000 0.0000
0.0000 7.3260 -3.7661
0.0000 -0.0466 8.9179
ATOMIC_POSITIONS angstrom
Y 0.0000 0.0000 0.0000
Y 4.1185 3.6630 -1.8830
Y 6.8734 5.8573 -0.6350
Y 1.3637 3.4010 0.6276
Y 2.7548 7.0640 -1.2554
Y 5.4823 2.1942 1.2480
Y 1.3637 1.4222 5.7869
Y 6.8734 3.8784 4.5242
Y 5.4823 0.2154 6.4072
Y 2.7548 5.0852 3.9039
Tl 5.2143 6.3446 -3.2615
Tl 3.0227 0.9814 -0.5045
Tl 1.0958 4.6444 -2.3876
Tl 7.1413 2.6816 -1.3785
Bi 0.0000 1.4833 2.8855
Bi 4.1185 5.1463 1.0024
Bi 0.0000 5.7961 2.2664
Bi 4.1185 2.1331 4.1494

Entry 2:
! Y3TlBi2 PBE optimized geometry; values from VASP
! energy	-5.53	eV per atom
! space group	C2/c
&SYSTEM
  ibrav = 0, nat = 12, ntyp = 3
/
ATOMIC_SPECIES
Y 88.91 Y.upf
Tl 204.38 Tl.upf
Bi 208.98 Bi.upf
CELL_PARAMETERS angstrom
6.3005 0.0000 0.0000
0.0000 8.6953 0.0037
-3.1502 -2.1742 6.8957
ATOMIC_POSITIONS angstrom
Y 3.1591 2.1738 0.0009
Y 3.1414 6.5215 0.0028
Y 0.0004 -0.0001 2.3626
Y 3.1506 2.1736 4.5350
Y -0.0004 4.3475 2.3645
Y 3.1498 6.5212 4.5368
Tl 6.2913 6.5215 0.0028
Tl 0.0091 2.1738 0.0009
Bi 3.1498 4.3468 2.2834
Bi 3.1507 -0.0009 2.2816
Bi -0.0005 6.5220 4.6179
Bi 0.0005 2.1743 4.6160

Entry 3:
! Y2TlBi2 PBE optimized geometry; values from VASP
! space group	P4/mbm
! E above lowest polymorph	0.0	meV per atom
&SYSTEM
  ibrav = 0, nat = 10, ntyp = 3
/
ATOMIC_SPECIES
Y 88.91 Y.upf
Tl 204.38 Tl.upf
Bi 208.98 Bi.upf
CELL_PARAMETERS angstrom
-1.3881 -8.3569 -1.0074
8.3472 -1.2350 -1.2569
0.5324 -0.5837 4.1089
ATOMIC_POSITIONS angstrom
Y 6.6281 -4.0007 -1.4271
Y 4.2193 -7.9255 -1.6726
Y 0.3309 -5.5912 -0.8372
Y 2.7397 -1.6665 -0.5917
Tl 0.0000 0.0000 0.0000
Tl 3.4795 -4.7960 -1.1321
Bi 5.5398 -2.4256 1.0680
Bi 6.3803 -6.8312 0.3333
Bi 1.9516 -7.7500 0.7766
Bi 1.1111 -3.3445 1.5113

Entry 4:
! Y2Tl2Bi PBE optimized geometry; values from VASP
! space group	P4/mbm
! E above lowest polymorph	0.0	meV per atom
&SYSTEM
  ibrav = 0, nat = 10, ntyp = 3
/
ATOMIC_SPECIES
Y 88.91 Y.upf
Tl 204.38 Tl.upf
Bi 208.98 Bi.upf
CELL_PARAMETERS angstrom
8.0921 0.0000 0.0000
0.0000 8.0921 0.0000
0.0000 0.0000 4.6915
ATOMIC_POSITIONS angstrom
Y 2.7466 6.7927 0.0000
Y 6.7927 5.3455 0.0000
Y 5.3455 1.2995 0.0000
Y 1.2995 2.7466 0.0000
Tl 1.1578 5.2039 2.3458
Tl 5.2039 6.9343 2.3458
Tl 6.9343 2.8882 2.3458
Tl 2.8882 1.1578 2.3458
Bi 0.0000 0.0000 0.0000
Bi 4.0461 4.0461 0.0000

no.,theoretical density (g cm⁻³),total moment (μB per cell)
1,7.87,0.00
2,7.81,0.00
3,8.73,0.00
4,8.60,0.00